1.
Material: Ce4TlHg2
Method: DFT, GGA-PBE
State: relaxed

Lattice parameters (Å, degrees): 8.7868 8.7868 8.7868 35.39 35.39 35.39
Last column: nearest neighbours and their distance in Å.
Atoms (fractional coordinates):
Ce: 0.1017 0.1017 0.1017  4 Hg 3.08-3.28
Ce: 0.3629 0.3629 0.3629  4 Hg 3.16-3.52, 1 Tl 3.38, 3 Ce 3.41
Ce: 0.6371 0.6371 0.6371  4 Hg 3.16-3.52, 1 Tl 3.38, 3 Ce 3.41
Ce: 0.8983 0.8983 0.8983  4 Hg 3.08-3.28
Tl: 0.5000 0.5000 0.5000  8 Ce 3.38-3.48, 6 Hg 3.51
Hg: 0.2348 0.2348 0.2348  5 Ce 3.08-3.28
Hg: 0.7652 0.7652 0.7652  5 Ce 3.08-3.28

For the total magnetization, the calculation gives 0.77 μB/atom. For the density of states at the Fermi level, the calculation gives 3.56 states/eV/atom. As for the energy: -0.288 Ry per atom. The calculated density comes out at 9.526 Mg/m³.

2.
Material: Ce4Tl2Hg3
Method: DFT, GGA-PBE
State: relaxed

Lattice parameters (Å, degrees): 5.8610 5.8610 9.7329 107.28 107.28 50.15
Last column: nearest neighbours and their distance in Å.
Atoms (fractional coordinates):
Ce: 0.0222 0.0222 0.3551  1 Ce 3.01, 5 Hg 3.23-3.36
Ce: 0.3316 0.3316 0.0969  4 Hg 3.24-3.37, 2 Ce 3.25, 4 Tl 3.27-3.51
Ce: 0.6684 0.6684 0.9031  4 Hg 3.24-3.37, 2 Ce 3.25, 4 Tl 3.27-3.51
Ce: 0.9778 0.9778 0.6449  1 Ce 3.01, 5 Hg 3.23-3.36
Tl: 0.3189 0.3189 0.7565  5 Hg 3.24-3.53, 7 Ce 3.27-3.51
Tl: 0.6811 0.6811 0.2435  5 Hg 3.24-3.53, 7 Ce 3.27-3.51
Hg: 0.0000 0.0000 0.0000  8 Ce 3.33-3.39, 4 Tl 3.53
Hg: 0.3449 0.3449 0.4343  1 Hg 3.12, 6 Ce 3.23-3.36, 3 Tl 3.24
Hg: 0.6551 0.6551 0.5657  1 Hg 3.12, 6 Ce 3.23-3.36, 3 Tl 3.24

For the total magnetization, the calculation gives 0.56 μB/atom. For the density of states at the Fermi level, the calculation gives 2.52 states/eV/atom. As for the energy: -0.258 Ry per atom. The calculated density comes out at 10.758 Mg/m³.

3.
Material: CeTlHg3
Method: DFT, GGA-PBE
State: relaxed

Lattice parameters (Å, degrees): 9.0598 9.0598 6.7064 109.86 109.86 31.29
Last column: nearest neighbours and their distance in Å.
Atoms (fractional coordinates):
Ce: 0.1068 0.1068 0.1650  8 Hg 3.26-3.49, 3 Tl 3.44-3.49, 1 Ce 3.60
Ce: 0.8932 0.8932 0.8350  8 Hg 3.26-3.49, 3 Tl 3.44-3.49, 1 Ce 3.60
Tl: 0.3143 0.3143 0.4454  7 Hg 3.19-3.43, 3 Ce 3.44-3.49, 2 Tl 3.56
Tl: 0.6857 0.6857 0.5546  7 Hg 3.19-3.43, 3 Ce 3.44-3.49, 2 Tl 3.56
Hg: 0.0873 0.0873 0.6527  4 Hg 3.01-3.24, 2 Tl 3.19, 1 Ce 3.33
Hg: 0.2831 0.2831 0.9127  4 Hg 3.10-3.40, 2 Ce 3.26, 4 Tl 3.37-3.43
Hg: 0.4854 0.4854 0.2155  3 Hg 3.02-3.11, 2 Ce 3.33
Hg: 0.5146 0.5146 0.7845  3 Hg 3.02-3.11, 2 Ce 3.33
Hg: 0.7169 0.7169 0.0873  4 Hg 3.10-3.40, 2 Ce 3.26, 4 Tl 3.37-3.43
Hg: 0.9127 0.9127 0.3473  4 Hg 3.01-3.24, 2 Tl 3.19, 1 Ce 3.33

For the total magnetization, the calculation gives 0.25 μB/atom. For the density of states at the Fermi level, the calculation gives 1.76 states/eV/atom. As for the energy: -0.147 Ry per atom. The calculated density comes out at 11.748 Mg/m³.

4.
Material: CeTlHg4
Method: DFT, GGA-PBE
State: relaxed

Lattice parameters (Å, degrees): 4.4858 4.4728 9.4144 90.00 90.06 90.00
Last column: nearest neighbours and their distance in Å.
Atoms (fractional coordinates):
Ce: 0.0000 0.0000 0.0000  8 Hg 3.23
Tl: 0.5000 0.5000 0.5000  8 Hg 3.26-3.27
Hg: 0.0002 0.5000 0.2478  4 Hg 3.17, 2 Ce 3.23, 2 Tl 3.26-3.27
Hg: 0.9998 0.5000 0.7522  4 Hg 3.17, 2 Ce 3.23, 2 Tl 3.26-3.27
Hg: 0.4999 0.0000 0.2470  4 Hg 3.17, 2 Ce 3.23, 2 Tl 3.27
Hg: 0.5001 0.0000 0.7530  4 Hg 3.17, 2 Ce 3.23, 2 Tl 3.27

For the total magnetization, the calculation gives 0.23 μB/atom. For the density of states at the Fermi level, the calculation gives 1.67 states/eV/atom. As for the energy: -0.118 Ry per atom. The calculated density comes out at 10.082 Mg/m³.

5.
Material: CeTlHg
Method: DFT, GGA-PBE
State: relaxed

Lattice parameters (Å, degrees): 5.3469 5.3469 6.6558 90.00 90.00 120.00
Last column: nearest neighbours and their distance in Å.
Atoms (fractional coordinates):
Ce: 0.3333 0.6667 0.2500  5 Hg 3.09-3.33
Ce: 0.6667 0.3333 0.7500  5 Hg 3.09-3.33
Tl: 0.0000 0.0000 0.0000  2 Tl 3.33, 6 Hg 3.51, 6 Ce 3.51
Tl: 0.0000 0.0000 0.5000  2 Tl 3.33, 6 Hg 3.51, 6 Ce 3.51
Hg: 0.3333 0.6667 0.7500  5 Ce 3.09-3.33
Hg: 0.6667 0.3333 0.2500  5 Ce 3.09-3.33

For the total magnetization, the calculation gives 0.29 μB/atom. For the density of states at the Fermi level, the calculation gives 2.40 states/eV/atom. As for the energy: -0.233 Ry per atom. The calculated density comes out at 10.985 Mg/m³.

6.
Material: Ce3Tl2Hg3
Method: DFT, GGA-PBE
State: relaxed

Lattice parameters (Å, degrees): 9.8754 9.8754 5.0303 104.64 104.64 27.25
Last column: nearest neighbours and their distance in Å.
Atoms (fractional coordinates):
Ce: 0.0000 0.0000 0.0000  8 Hg 3.28-3.43, 4 Ce 3.43-3.44
Ce: 0.1260 0.1260 0.6262  6 Hg 3.30-3.43, 4 Tl 3.34-3.35, 2 Ce 3.43-3.44
Ce: 0.8740 0.8740 0.3738  6 Hg 3.30-3.43, 4 Tl 3.34-3.35, 2 Ce 3.43-3.44
Tl: 0.2448 0.2448 0.2447  4 Hg 3.22-3.49, 4 Ce 3.34-3.35, 4 Tl 3.43
Tl: 0.7552 0.7552 0.7553  4 Hg 3.22-3.49, 4 Ce 3.34-3.35, 4 Tl 3.43
Hg: 0.3754 0.3754 0.8755  4 Tl 3.22-3.49, 6 Ce 3.28-3.43, 2 Hg 3.41-3.42
Hg: 0.5000 0.5000 0.5000  8 Ce 3.30-3.43, 4 Hg 3.41-3.42
Hg: 0.6246 0.6246 0.1245  4 Tl 3.22-3.49, 6 Ce 3.28-3.43, 2 Hg 3.41-3.42

For the total magnetization, the calculation gives 0.45 μB/atom. For the density of states at the Fermi level, the calculation gives 2.52 states/eV/atom. As for the energy: -0.232 Ry per atom. The calculated density comes out at 10.954 Mg/m³.

7.
Material: Ce2Tl3Hg2
Method: DFT, GGA-PBE
State: relaxed

Lattice parameters (Å, degrees): 4.8386 3.2922 12.8365 90.00 100.92 90.00
Last column: nearest neighbours and their distance in Å.
Atoms (fractional coordinates):
Ce: 0.0737 0.0000 0.1474  2 Ce 3.29, 4 Hg 3.29-3.30, 4 Tl 3.46-3.47
Ce: 0.9263 0.0000 0.8526  2 Ce 3.29, 4 Hg 3.29-3.30, 4 Tl 3.46-3.47
Tl: 0.2098 0.5000 0.4177  2 Hg 3.07, 4 Tl 3.18-3.29
Tl: 0.5000 0.5000 0.0000  2 Tl 3.29, 2 Hg 3.37, 8 Ce 3.46-3.47
Tl: 0.7902 0.5000 0.5823  2 Hg 3.07, 4 Tl 3.18-3.29
Hg: 0.3656 0.5000 0.7327  3 Tl 3.07-3.37, 2 Hg 3.29, 4 Ce 3.29-3.30
Hg: 0.6344 0.5000 0.2673  3 Tl 3.07-3.37, 2 Hg 3.29, 4 Ce 3.29-3.30

For the total magnetization, the calculation gives 0.38 μB/atom. For the density of states at the Fermi level, the calculation gives 2.17 states/eV/atom. As for the energy: -0.215 Ry per atom. The calculated density comes out at 10.707 Mg/m³.

8.
Material: Ce4Tl3Hg2
Method: DFT, GGA-PBE
State: relaxed

Lattice parameters (Å, degrees): 5.4063 5.4063 10.1206 90.07 90.07 59.93
Last column: nearest neighbours and their distance in Å.
Atoms (fractional coordinates):
Ce: 0.0002 0.0002 0.1375  1 Ce 2.78
Ce: 0.9998 0.9998 0.8625  1 Ce 2.78
Ce: 0.3331 0.3331 0.6178  4 Hg 3.26-3.33, 4 Tl 3.34-3.42
Ce: 0.6669 0.6669 0.3822  4 Hg 3.26-3.33, 4 Tl 3.34-3.42
Tl: 0.0000 0.0000 0.5000  8 Ce 3.34-3.67
Tl: 0.3332 0.3332 0.9562  3 Tl 3.24-3.25, 7 Ce 3.26-3.62, 1 Hg 3.36
Tl: 0.6668 0.6668 0.0438  3 Tl 3.24-3.25, 7 Ce 3.26-3.62, 1 Hg 3.36
Hg: 0.3337 0.3337 0.2884  7 Ce 3.26-3.48, 1 Tl 3.36
Hg: 0.6663 0.6663 0.7116  7 Ce 3.26-3.48, 1 Tl 3.36

For the total magnetization, the calculation gives 0.47 μB/atom. For the density of states at the Fermi level, the calculation gives 3.06 states/eV/atom. As for the energy: -0.272 Ry per atom. The calculated density comes out at 10.215 Mg/m³.